No. 1
La2GeBr: relaxed, GGA-PBE.

total DFT energy (no corrections): -5.22 eV/atom
density of states at the Fermi level: 0.662 states/eV per atom
ΔE_f (raw): -1.19 eV/atom
energy relative to the lowest polymorph listed for this composition: 4.4 kJ/mol of atoms

Unit cell a=4.332 b=4.332 c=8.186 alpha=74.66 beta=74.66 gamma=60.00
Fractional positions:
La  0.071  0.071  0.788
La  0.264  0.264  0.209
Ge  0.668  0.668  0.996
Br  0.498  0.498  0.507


No. 2
ScInSF2: relaxed, GGA-PBE.

total DFT energy (no corrections): -5.75 eV/atom
density of states at the Fermi level: 0.152 states/eV per atom
ΔE_f (raw): -2.36 eV/atom

Unit cell a=4.254 b=4.254 c=5.107 alpha=90.00 beta=90.00 gamma=90.00
Fractional positions:
Sc  0.000  0.000  0.000
S  0.000  0.000  0.500
F  0.000  0.500  0.000
F  0.500  0.000  0.000
In  0.500  0.500  0.500


- Which value of density of states at the Fermi level does entry 1 give?
  0.662 states/eV per atom


- What is the density of states at the Fermi level in the second record?
  0.152 states/eV per atom


Repeat the first record exactly.
La2GeBr: relaxed, GGA-PBE.

total DFT energy (no corrections): -5.22 eV/atom
density of states at the Fermi level: 0.662 states/eV per atom
ΔE_f (raw): -1.19 eV/atom
energy relative to the lowest polymorph listed for this composition: 4.4 kJ/mol of atoms

Unit cell a=4.332 b=4.332 c=8.186 alpha=74.66 beta=74.66 gamma=60.00
Fractional positions:
La  0.071  0.071  0.788
La  0.264  0.264  0.209
Ge  0.668  0.668  0.996
Br  0.498  0.498  0.507


Repeat the first record exactly.
La2GeBr: relaxed, GGA-PBE.

total DFT energy (no corrections): -5.22 eV/atom
density of states at the Fermi level: 0.662 states/eV per atom
ΔE_f (raw): -1.19 eV/atom
energy relative to the lowest polymorph listed for this composition: 4.4 kJ/mol of atoms

Unit cell a=4.332 b=4.332 c=8.186 alpha=74.66 beta=74.66 gamma=60.00
Fractional positions:
La  0.071  0.071  0.788
La  0.264  0.264  0.209
Ge  0.668  0.668  0.996
Br  0.498  0.498  0.507